(1)
# La2TcTe GGA-PBE optimized geometry
data_La2TcTe
_cell_length_a 4.1584
_cell_length_b 4.1584
_cell_length_c 24.3627
_cell_angle_alpha 90.00
_cell_angle_beta 90.00
_cell_angle_gamma 120.00
_space_group_name_H-M_alt 'R -3 m'
_space_group_IT_number 166
_space_group_name_Hall '-R 3 2"'
loop_
_atom_site_label
_atom_site_type_symbol
_atom_site_fract_x
_atom_site_fract_y
_atom_site_fract_z
La1 La 0.0000 0.0000 0.2415
Tc1 Tc 0.0000 0.0000 0.5000
Te1 Te 0.0000 0.0000 0.0000
# Offset from the most stable computed form ... 0.1631 eV/atom
# Energy relative to the elements, uncorrected ... -0.367 eV/atom
# Density of states at the Fermi level ... 13.6 states/eV per cell
# Uncorrected energy ... -24.83 eV/f.u.

=====

(2)
# La2TcTe GGA-PBE optimized geometry
data_La2TcTe
_cell_length_a 7.309
_cell_length_b 7.309
_cell_length_c 7.309
_cell_angle_alpha 90.00
_cell_angle_beta 90.00
_cell_angle_gamma 90.00
_space_group_name_H-M_alt 'F -4 3 m'
_space_group_IT_number 216
_space_group_name_Hall 'F -4 2 3'
loop_
_atom_site_label
_atom_site_type_symbol
_atom_site_fract_x
_atom_site_fract_y
_atom_site_fract_z
La1 La 0.000 0.000 0.000
La2 La 0.250 0.250 0.250
Tc1 Tc 0.250 0.250 0.750
Te1 Te 0.000 0.000 0.500
# Offset from the most stable computed form ... 0.4477 eV/atom
# Energy relative to the elements, uncorrected ... -0.083 eV/atom
# Density of states at the Fermi level ... 12.2 states/eV per cell
# Uncorrected energy ... -23.69 eV/f.u.

=====

(3)
# La2TcTe2 GGA-PBE optimized geometry
data_La2TcTe2
_cell_length_a 6.226
_cell_length_b 6.226
_cell_length_c 8.712
_cell_angle_alpha 90.00
_cell_angle_beta 90.00
_cell_angle_gamma 90.00
_space_group_name_H-M_alt 'I 4/m m m'
_space_group_IT_number 139
_space_group_name_Hall '-I 4 2'
loop_
_atom_site_label
_atom_site_type_symbol
_atom_site_fract_x
_atom_site_fract_y
_atom_site_fract_z
La1 La 0.000 0.500 0.250
Tc1 Tc 0.000 0.000 0.000
Te1 Te 0.000 0.000 0.304
# Energy relative to the elements, uncorrected ... -0.352 eV/atom
# Density of states at the Fermi level ... 8.3 states/eV per cell
# Uncorrected energy ... -28.26 eV/f.u.

=====

Which value of energy relative to the elements, uncorrected does entry 1 give?
-0.367 eV/atom

=====

Which formula does entry 3 have?
La2TcTe2

=====

Among the records above, which one has the highest energy relative to the elements, uncorrected?
number 2